Entry 1:
5
Lattice="-3.083 -3.562 1.043 1.199 0.327 4.662 -2.558 2.357 0.492" Properties=species:S:1:pos:R:3 comment="P2RuBrO | the Alexandria database | PBE-GGA | relaxed" e_above_lowest_polymorph_ev_per_atom=1.198 vol_a3_per_atom=16.36 raw_formation_energy_ev_per_atom=1.411 dft_energy_ry_per_atom=-0.2892 magnetic_moment_mub_per_cell=0.0 pbc="T T T"
P -1.541 -1.781 0.521
P 0.599 0.164 2.331
Br 0.000 0.000 0.000
O -1.279 1.179 0.246
Ru -2.221 -0.439 3.099

Entry 2:
4
Lattice="-0.248 -0.656 -3.392 3.367 -0.809 -0.089 -1.850 -7.883 1.660" Properties=species:S:1:pos:R:3 comment="KLi2Cu | the Alexandria database | PBE-GGA | relaxed" e_above_lowest_polymorph_ev_per_atom=0.040 vol_a3_per_atom=24.79 formation_energy_mev_per_atom=207 dft_energy_ry_per_atom=-0.1506 magnetic_moment_mub_per_cell=0.0 pbc="T T T"
Li -0.180 -0.768 0.162
Cu 1.097 -2.703 -1.326
Li -0.745 -3.173 0.668
K 0.171 -6.645 -0.496

Entry 3:
5
Lattice="-1.251 6.013 -1.630 -2.376 0.630 4.146 5.385 1.880 2.800" Properties=species:S:1:pos:R:3 comment="HfTaI2Br | the Alexandria database | PBE-GGA | relaxed" vol_a3_per_atom=38.93 raw_formation_energy_ev_per_atom=1.726 dft_energy_ry_per_atom=-0.2638 magnetic_moment_mub_per_cell=5.4 pbc="T T T"
Br 0.000 0.000 0.000
I 2.693 0.940 1.400
I -0.626 3.006 -0.815
Hf -1.188 0.315 2.073
Ta 0.879 4.261 2.658

Entry 4:
12
Lattice="0.480 -3.338 -3.718 -4.596 -6.911 5.626 -4.603 7.280 -3.746" Properties=species:S:1:pos:R:3 comment="Tb5CeDy6 | the Alexandria database | PBE-GGA | relaxed" vol_a3_per_atom=31.62 formation_energy_mev_per_atom=35 dft_energy_ry_per_atom=-0.3447 magnetic_moment_mub_per_cell=1.0 pbc="T T T"
Tb -1.973 -0.953 -2.787
Dy -5.370 -1.961 -2.315
Tb -2.298 -3.455 2.813
Dy -3.350 -1.008 0.477
Dy -3.064 1.507 -5.138
Tb -4.283 -4.405 0.022
Ce 0.000 0.000 0.000
Dy -5.504 3.895 -4.208
Tb -6.747 -2.016 0.949
Dy -5.656 -4.476 3.300
Tb -4.437 1.436 -1.860
Dy -3.216 -6.865 2.370

Entry 5:
16
Lattice="-5.165 2.369 -4.970 -4.632 -3.450 3.169 -2.364 9.658 7.060" Properties=species:S:1:pos:R:3 comment="AcPmPr2 | the Alexandria database | PBE-GGA | relaxed" e_above_lowest_polymorph_ev_per_atom=0.002 vol_a3_per_atom=37.91 formation_energy_mev_per_atom=22 dft_energy_ry_per_atom=-0.3368 magnetic_moment_mub_per_cell=0.0 pbc="T T T"
Pr -4.849 0.767 3.952
Pm -3.767 1.801 -2.408
Pr -6.426 4.188 -1.340
Pr -8.659 6.747 5.029
Pr -7.468 1.879 1.470
Pr -3.807 3.077 1.142
Pm -7.361 0.662 -2.054
Pm -7.508 3.155 5.020
Ac -4.801 -0.504 0.400
Ac -1.149 0.608 0.101
Pr -7.618 9.056 2.218
Pm -3.913 4.293 4.666
Ac -10.125 4.347 2.511
Pr -4.980 7.867 4.643
Ac -6.473 5.460 2.212
Pr -6.021 5.558 7.454

Entry 6:
4
Lattice="3.269 0.000 0.000 0.000 4.813 0.000 0.000 0.000 4.754" Properties=species:S:1:pos:R:3 comment="YTaW2 | the Alexandria database | PBE-GGA | relaxed" e_above_lowest_polymorph_ev_per_atom=0.254 vol_a3_per_atom=18.70 formation_energy_mev_per_atom=561 dft_energy_ry_per_atom=-0.7713 magnetic_moment_mub_per_cell=0.0 pbc="T T T"
W 1.634 2.406 0.000
W 0.000 0.000 0.000
Ta 0.000 2.406 2.377
Y 1.634 0.000 2.377

Entry 7:
9
Lattice="4.841 0.000 0.002 2.420 4.211 0.182 0.000 -0.312 9.475" Properties=species:S:1:pos:R:3 comment="Dy2Cd3Au4 | the Alexandria database | PBE-GGA | relaxed" vol_a3_per_atom=21.49 formation_energy_mev_per_atom=-559 dft_energy_ry_per_atom=-0.2457 magnetic_moment_mub_per_cell=0.0 pbc="T T T"
Cd 4.842 2.640 5.587
Cd 2.420 1.259 4.071
Dy 4.841 2.732 2.195
Au 4.842 -0.184 6.185
Au 2.419 4.083 3.474
Au 4.841 2.530 8.673
Dy 2.421 1.167 7.464
Cd 0.000 0.000 0.000
Au 2.420 1.368 0.985

Entry 8:
5
Lattice="-1.306 3.546 -0.664 -2.619 -1.417 -2.420 -3.970 -0.592 4.644" Properties=species:S:1:pos:R:3 comment="ZnCuTeN2 | the Alexandria database | PBE-GGA | relaxed" e_above_lowest_polymorph_ev_per_atom=0.000 vol_a3_per_atom=18.07 raw_formation_energy_ev_per_atom=1.382 dft_energy_ry_per_atom=-0.2683 magnetic_moment_mub_per_cell=3.7 pbc="T T T"
Cu 0.000 0.000 0.000
Te -1.985 -0.296 2.322
N -0.653 1.773 -0.332
Zn -3.947 0.769 0.780
N -1.310 -0.709 -1.210

Entry 9:
12
Lattice="6.884 -0.007 -0.003 -3.446 5.959 -0.003 -1.150 -1.991 6.528" Properties=species:S:1:pos:R:3 comment="NaTb2Sm3S6 | the Alexandria database | PBE-GGA | relaxed" vol_a3_per_atom=22.30 raw_formation_energy_ev_per_atom=-1.956 dft_energy_ry_per_atom=-0.4469 magnetic_moment_mub_per_cell=0.0 pbc="T T T"
S -0.020 3.968 4.920
Tb 0.007 3.965 -0.003
Tb 3.431 1.987 -0.003
Sm 1.144 1.981 3.261
S -1.159 1.996 1.601
Na 0.000 0.000 0.000
S 3.447 1.966 4.920
Sm -2.338 3.992 3.261
S -0.002 -0.004 4.961
S 2.290 3.965 1.560
Sm 4.626 -0.030 3.261
S 2.308 -0.006 1.601

Entry 10:
4
Lattice="-3.650 2.088 4.072 -5.662 -1.485 -0.106 -2.166 -3.575 4.099" Properties=species:S:1:pos:R:3 comment="CeNdSmEu | the Alexandria database | PBE-GGA | relaxed" vol_a3_per_atom=35.46 formation_energy_mev_per_atom=251 dft_energy_ry_per_atom=-0.4537 magnetic_moment_mub_per_cell=4.9 pbc="T T T"
Sm -8.609 -2.229 6.048
Eu 0.000 0.000 0.000
Nd -2.870 -0.743 2.016
Ce -5.739 -1.486 4.032

Entry 11:
4
Lattice="5.329 0.000 0.000 0.000 2.879 -0.002 0.000 0.410 5.772" Properties=species:S:1:pos:R:3 comment="SrTlRe2 | the Alexandria database | PBE-GGA | relaxed" e_above_lowest_polymorph_ev_per_atom=0.641 vol_a3_per_atom=22.14 formation_energy_mev_per_atom=1027 dft_energy_ry_per_atom=-0.4563 magnetic_moment_mub_per_cell=0.0 pbc="T T T"
Tl 2.664 2.467 4.327
Re 0.000 2.015 2.596
Sr 2.664 0.822 1.442
Re 0.000 2.509 0.286

Entry 12:
18
Lattice="8.891 0.000 0.000 0.000 8.891 0.000 -4.446 -4.446 7.917" Properties=species:S:1:pos:R:3 comment="Pm5Nd3Th | the Alexandria database | PBE-GGA | relaxed" vol_a3_per_atom=34.77 formation_energy_mev_per_atom=284 dft_energy_ry_per_atom=-0.3505 magnetic_moment_mub_per_cell=0.0 pbc="T T T"
Pm 2.582 1.863 2.198
Nd 7.850 5.487 0.000
Nd 5.487 1.042 0.000
Pm -1.863 -2.582 5.719
Nd 3.404 7.850 0.000
Pm 0.000 0.000 0.000
Pm 7.028 2.582 2.198
Nd 1.042 3.404 0.000
Nd 4.446 4.446 3.959
Pm 4.446 4.446 0.000
Nd 0.000 0.000 3.959
Pm -2.582 1.863 5.719
Pm 2.582 -1.863 5.719
Pm 6.309 7.028 2.198
Pm 1.863 6.309 2.198
Th 4.446 0.000 3.959
Th 0.000 4.446 3.959
Pm 1.863 2.582 5.719

Entry 13:
4
Lattice="0.000 4.183 4.183 4.183 0.000 4.183 4.183 4.183 0.000" Properties=species:S:1:pos:R:3 comment="Cs2IrPb | the Alexandria database | PBE-GGA | relaxed" e_above_lowest_polymorph_ev_per_atom=0.711 vol_a3_per_atom=36.60 formation_energy_mev_per_atom=1047 dft_energy_ry_per_atom=-0.1854 magnetic_moment_mub_per_cell=0.0 pbc="T T T"
Cs 2.092 2.092 2.092
Cs 6.275 6.275 6.275
Ir 0.000 0.000 0.000
Pb 4.183 4.183 4.183

Entry 14:
8
Lattice="4.127 0.000 0.000 0.000 4.127 0.000 0.000 0.000 8.879" Properties=species:S:1:pos:R:3 comment="SmGa4Pt3 | the Alexandria database | PBE-GGA | relaxed" vol_a3_per_atom=18.91 formation_energy_mev_per_atom=-790 dft_energy_ry_per_atom=-0.3791 magnetic_moment_mub_per_cell=0.0 pbc="T T T"
Pt 0.000 0.000 0.000
Ga 2.064 0.000 7.314
Ga 2.064 0.000 1.566
Pt 2.064 2.064 3.098
Sm 0.000 0.000 4.440
Pt 2.064 2.064 5.782
Ga 0.000 2.064 7.314
Ga 0.000 2.064 1.566

Entry 15:
3
Lattice="-0.788 -3.963 0.811 2.719 -0.720 -0.873 -0.509 0.678 2.820" Properties=species:S:1:pos:R:3 comment="UBC | the Alexandria database | PBE-GGA | relaxed" e_above_lowest_polymorph_ev_per_atom=0.118 vol_a3_per_atom=10.32 formation_energy_mev_per_atom=-331 dft_energy_ry_per_atom=-0.6905 magnetic_moment_mub_per_cell=0.0 pbc="T T T"
C 1.511 -0.914 0.493
U 0.041 -2.430 2.129
B -0.131 -0.661 0.135

Entry 16:
18
Lattice="-2.033 -6.181 -1.374 0.896 1.879 6.316 -7.604 2.421 0.359" Properties=species:S:1:pos:R:3 comment="AlPPt | the Alexandria database | PBE-GGA | relaxed" vol_a3_per_atom=17.00 formation_energy_mev_per_atom=-371 dft_energy_ry_per_atom=-0.3995 magnetic_moment_mub_per_cell=0.0 pbc="T T T"
P -7.805 -1.346 1.508
Al -1.376 -4.186 -0.930
Pt -5.637 1.682 2.563
Al -3.195 2.483 4.456
Al -5.178 -2.975 -0.751
Pt -2.877 -2.876 2.890
Pt -3.420 -4.227 0.506
Al -0.367 -1.389 1.595
Al -4.169 -0.178 1.774
Pt -6.265 -0.525 4.157
P -5.703 1.816 0.269
P -3.027 0.130 3.892
P -0.936 -0.535 3.793
Pt -5.447 1.867 5.344
P -5.714 -2.012 1.409
Pt -2.575 -1.565 0.441
P -1.901 0.605 0.090
Al 0.607 1.273 4.277

Entry 17:
16
Lattice="5.450 0.000 0.000 0.000 5.452 0.000 0.000 0.000 10.837" Properties=species:S:1:pos:R:3 comment="UAg3S4 | the Alexandria database | PBE-GGA | relaxed" vol_a3_per_atom=20.13 raw_formation_energy_ev_per_atom=-0.546 dft_energy_ry_per_atom=-0.3741 magnetic_moment_mub_per_cell=2.3 pbc="T T T"
S 3.076 4.090 8.014
S 3.076 1.364 0.000
Ag 0.352 1.361 5.419
U 3.075 4.088 5.419
S 3.076 1.362 5.419
S 3.076 4.090 2.824
Ag 3.077 4.091 0.000
Ag 3.076 1.364 2.710
S 0.351 4.090 0.000
S 0.350 4.088 5.419
S 0.351 1.362 8.242
Ag 0.351 4.088 2.709
Ag 3.076 1.364 8.128
S 0.351 1.362 2.595
U 0.350 1.364 0.000
Ag 0.351 4.088 8.128

Entry 18:
5
Lattice="4.605 0.000 0.000 0.000 5.223 0.000 0.000 0.000 4.605" Properties=species:S:1:pos:R:3 comment="ZrNb2SnP | the Alexandria database | PBE-GGA | relaxed" vol_a3_per_atom=22.15 formation_energy_mev_per_atom=261 dft_energy_ry_per_atom=-0.5409 magnetic_moment_mub_per_cell=0.0 pbc="T T T"
P 0.000 0.000 0.000
Sn 0.000 2.612 0.000
Nb 2.302 0.000 0.000
Nb 0.000 0.000 2.302
Zr 2.302 2.612 2.302

Entry 19:
4
Lattice="-0.142 2.099 4.042 -1.649 -5.005 2.540 3.316 -2.186 1.251" Properties=species:S:1:pos:R:3 comment="SrOsSe2 | the Alexandria database | PBE-GGA | relaxed" e_above_lowest_polymorph_ev_per_atom=0.138 vol_a3_per_atom=25.94 raw_formation_energy_ev_per_atom=-0.518 dft_energy_ry_per_atom=-0.4034 magnetic_moment_mub_per_cell=0.0 pbc="T T T"
Sr 1.280 -3.448 1.835
Os 0.998 -5.703 5.564
Se 0.209 -0.530 2.851
Se 1.538 -6.198 3.272

Entry 20:
5
Lattice="-0.712 4.128 -2.629 -3.709 1.278 3.011 2.083 1.570 1.900" Properties=species:S:1:pos:R:3 comment="BeHSCl2 | the Alexandria database | PBE-GGA | relaxed" e_above_lowest_polymorph_ev_per_atom=0.338 vol_a3_per_atom=15.78 dft_energy_ry_per_atom=-0.1668 magnetic_moment_mub_per_cell=0.9 pbc="T T T"
S 1.041 0.785 0.950
Be -1.170 3.488 1.141
Cl -1.855 0.639 1.506
Cl -0.356 2.064 -1.314
H 0.000 0.000 0.000

Entry 21:
5
Lattice="5.225 0.000 0.000 0.000 5.243 0.000 0.000 0.000 5.225" Properties=species:S:1:pos:R:3 comment="InW2AuBr | the Alexandria database | PBE-GGA | relaxed" vol_a3_per_atom=28.63 raw_formation_energy_ev_per_atom=2.013 dft_energy_ry_per_atom=-0.3459 magnetic_moment_mub_per_cell=7.3 pbc="T T T"
W 2.613 0.000 0.000
Br 2.613 2.621 2.613
In 0.000 2.621 0.000
Au 0.000 0.000 0.000
W 0.000 0.000 2.613

Entry 22:
16
Lattice="6.735 0.000 0.000 0.000 7.550 -0.012 0.000 0.017 10.403" Properties=species:S:1:pos:R:3 comment="CaPm2Pt | the Alexandria database | PBE-GGA | relaxed" e_above_lowest_polymorph_ev_per_atom=0.020 vol_a3_per_atom=33.06 formation_energy_mev_per_atom=-566 dft_energy_ry_per_atom=-0.3639 magnetic_moment_mub_per_cell=0.0 pbc="T T T"
Pm 1.683 3.787 8.363
Pt 6.433 1.894 3.691
Ca 4.966 1.901 9.092
Pt 3.669 5.669 3.685
Pm 1.684 7.562 8.357
Pm 5.051 3.784 5.661
Pm 1.684 3.782 4.730
Pt 3.066 1.897 6.706
Pm 5.051 3.779 2.028
Pt 0.302 5.672 6.700
Pm 1.684 0.008 4.736
Pm 5.051 0.004 2.034
Ca 1.599 1.891 1.306
Ca 1.768 5.666 1.300
Pm 5.051 7.558 5.655
Ca 5.135 5.675 9.086